The following is a DFT calculation (PBEsol) of a geometry-optimized ZnGa2S4 structure.

a b c (Å): 5.2520 5.2520 6.3544
angles (deg): 114.41 114.41 90.00
With the nearest neighbours (Å) after each atom.
Sites, in units of the cell vectors:
Zn  0.0000  0.0000  0.0000  4 S 2.33
S  0.8888  0.8685  0.2644  2 Ga 2.28, 1 Zn 2.33
S  0.1315  0.6244  0.7356  2 Ga 2.28, 1 Zn 2.33
S  0.6040  0.1112  0.7356  2 Ga 2.28, 1 Zn 2.33
S  0.3756  0.3960  0.2644  2 Ga 2.28, 1 Zn 2.33
Ga  0.7500  0.2500  0.5000  4 S 2.28
Ga  0.5000  0.5000  0.0000  4 S 2.28

Results
Formation energy from raw total energies   -0.749 eV/atom
DOS at the Fermi energy   0.00 states/eV per cell
E   -4.434 eV/atom
Density   3.89 Mg/m³
V   142 Å³ per cell